Here is crystalline TaW3 at its relaxed geometry from Alexandria. Energies are from PBEsol.

Cell and atoms, written as POSCAR:
```
TaW3
1.0
6.355 0.000 0.000
0.008 6.355 0.000
-0.002 -0.002 6.359
Ta W
4 12
Direct
0.001 0.001 0.999
0.001 0.001 0.501
0.749 0.749 0.249
0.498 0.498 0.501
0.499 0.001 0.999
0.499 0.001 0.501
0.251 0.749 0.751
0.251 0.749 0.249
0.749 0.749 0.751
0.001 0.499 0.999
0.001 0.499 0.501
0.499 0.499 0.999
0.251 0.251 0.751
0.251 0.251 0.249
0.749 0.251 0.751
0.749 0.251 0.249
```

Output
energy of formation	-30	kJ/mol of formula units
crystal system	monoclinic
SG	Cm, No. 8
calculated total energy	-13.57	eV per atom
magnetic moment	0.0	μB per formula unit
calculated density	18.95	g cm⁻³